A relaxed structure of Pm4SmBi3. Source: the Alexandria database, functional PBE.

Summary:
Theoretical density: 8.42 g cm⁻³
Calculated volume: 33.5 Å³ per atom
Calculated formation energy: -0.48 eV/atom

Cell: 4.1272 8.8460 8.8090 Å, 120.14 103.55 90.00°
Closest atoms and distances in Å follow each position.
Element x y z (fractional)
Sm 0.5000 0.0000 0.0000  4 Pm 3.26, 4 Bi 3.34
Bi 0.1788 0.1788 0.3575  6 Pm 3.31-3.40, 2 Sm 3.34
Bi 0.8212 0.8212 0.6425  6 Pm 3.31-3.40, 2 Sm 3.34
Pm 0.6323 0.8363 0.2647  1 Sm 3.26, 5 Bi 3.31-3.40, 1 Pm 3.61
Pm 0.6323 0.4283 0.2646  1 Sm 3.26, 5 Bi 3.31-3.40, 1 Pm 3.61
Pm 0.3677 0.1637 0.7353  1 Sm 3.26, 5 Bi 3.31-3.40, 1 Pm 3.61
Bi 0.0000 0.5000 0.0000  8 Pm 3.36
Pm 0.3677 0.5717 0.7354  1 Sm 3.26, 5 Bi 3.31-3.40, 1 Pm 3.61